# CaSe3

An optimized crystal structure of CaSe3 (GGA-PBE, Alexandria).

Unit cell a=3.7204 b=4.1841 c=6.8749 alpha=68.83 beta=90.00 gamma=90.00
Fractional coordinates of all 4 atoms:
Ca  0.0000  0.0000  0.0000
Se  0.5000  0.5835  0.7580
Se  0.0000  0.5000  0.5000
Se  0.5000  0.4165  0.2420

Calculated values
Formation energy from raw total energies in eV/f.u.: -3.12
Symmetry: P2/m, No. 10

# Ca5Se

An optimized crystal structure of Ca5Se (GGA-PBE, Alexandria).

Unit cell a=6.7603 b=6.7603 c=9.3798 alpha=75.24 beta=75.24 gamma=33.18
Fractional coordinates of all 6 atoms:
Ca  0.9290  0.9290  0.9818
Ca  0.3155  0.3155  0.3711
Ca  0.7032  0.7032  0.7602
Ca  0.6156  0.6156  0.1842
Ca  0.0146  0.0146  0.5539
Se  0.2555  0.2555  0.9821

Calculated values
Formation energy from raw total energies in eV/f.u.: -3.24
Symmetry: Cm, No. 8

# Ca4Se3

An optimized crystal structure of Ca4Se3 (GGA-PBE, Alexandria).

Unit cell a=6.1508 b=6.1508 c=5.9117 alpha=90.00 beta=90.00 gamma=120.00
Fractional coordinates of all 7 atoms:
Ca  0.0000  0.0000  0.2340
Ca  0.0000  0.0000  0.7660
Ca  0.6667  0.3333  0.5000
Ca  0.3333  0.6667  0.5000
Se  0.0000  0.5000  0.0000
Se  0.5000  0.5000  0.0000
Se  0.5000  0.0000  0.0000

Calculated values
Formation energy from raw total energies in eV/f.u.: -3.98
Symmetry: P6/mmm, No. 191

# CaSe2

An optimized crystal structure of CaSe2 (GGA-PBE, Alexandria).

Unit cell a=5.6223 b=5.6223 c=8.0041 alpha=82.75 beta=82.75 gamma=41.36
Fractional coordinates of all 6 atoms:
Ca  0.0003  0.0003  0.2500
Ca  0.9997  0.9997  0.7500
Se  0.3813  0.3813  0.5116
Se  0.6187  0.6187  0.9881
Se  0.3813  0.3813  0.0119
Se  0.6187  0.6187  0.4884

Calculated values
Formation energy from raw total energies in eV/f.u.: -3.55
Symmetry: C2/m, No. 12